Compound: LiSiTc2
Source: the Alexandria database
Functional: PBEsol
Structure: optimized geometry

a = 3.050 Å, b = 4.029 Å, c = 4.179 Å
α = 90.00°, β = 90.00°, γ = 90.00°
Fractional positions:
Li1 0.500 0.500 0.000
Si1 0.000 0.500 0.500
Tc1 0.000 0.000 0.000
Tc2 0.500 0.000 0.500

ΔE_f (raw) = 0.05 eV/f.u.
Fermi-level density of states = 3.01 states/eV/f.u.